Here is crystalline ScTe3 at its relaxed geometry from Alexandria. Energies are from PBEsol.

Output
Electronic total energy: -4.87 eV/atom
DOS at the Fermi energy: 0.40 states/eV/atom
Energy relative to the elements, uncorrected: -0.5746 eV per atom
Mass density: 7.07 g cm⁻³

Lattice parameters (Å, degrees): 3.6965 3.6965 7.3498 90.00 90.00 90.00
Last column: nearest neighbours and their distance in Å.
Positions (direct):
Te 0.5000 0.5000 0.7931  4 Sc 3.02, 1 Te 3.04
Te 0.0000 0.0000 0.5000  12 Te 3.39-3.70, 2 Sc 3.67
Te 0.5000 0.5000 0.2069  4 Sc 3.02, 1 Te 3.04
Sc 0.0000 0.0000 0.0000  8 Te 3.02